[1]
This record from Alexandria via LeMat-Bulk describes a geometry-optimized Tb3ErAg2 structure. The functional is PBE. Values from VASP.

```
&SYSTEM
  ibrav = 0, nat = 12, ntyp = 3
/
ATOMIC_SPECIES
Tb 158.93 Tb.upf
Er 167.26 Er.upf
Ag 107.87 Ag.upf
CELL_PARAMETERS angstrom
-2.3357 -3.8409 5.4215
6.9122 -2.3887 1.2856
-1.2187 8.5184 0.9355
ATOMIC_POSITIONS crystal
Tb 0.5000 0.2500 0.0000
Tb 0.5000 0.7500 0.0000
Tb 0.7726 0.0226 0.5452
Tb 0.2274 0.4774 0.4548
Tb 0.2274 0.9774 0.4548
Tb 0.7726 0.5226 0.5452
Er 0.0000 0.5000 0.0000
Er 0.0000 0.0000 0.0000
Ag 0.5599 0.3587 0.7174
Ag 0.8425 0.1413 0.2826
Ag 0.1575 0.8587 0.7174
Ag 0.4401 0.6413 0.2826
```

Calculated values
total DFT energy (no corrections): -3.99 eV per atom
formation energy: 37 meV per atom
calculated density: 7.8 g/cm3
relative energy among the computed polymorphs: 230 meV/atom
space-group type: Ibam (72)
D(E_F): 15.30 states/eV/cell

---

[2]
This record from Alexandria via LeMat-Bulk describes a geometry-optimized CeSm6Cd5 structure. The functional is PBE. Values from VASP.

```
&SYSTEM
  ibrav = 0, nat = 12, ntyp = 3
/
ATOMIC_SPECIES
Sm 150.36 Sm.upf
Ce 140.12 Ce.upf
Cd 112.41 Cd.upf
CELL_PARAMETERS angstrom
-1.6581 0.7717 -5.0445
3.2111 -6.8892 -2.1090
-7.6961 -0.6873 5.2780
ATOMIC_POSITIONS crystal
Sm 0.8301 0.5734 0.6602
Sm 0.8301 0.0868 0.6602
Sm 0.5000 0.7294 0.0000
Sm 0.5000 0.2706 0.0000
Sm 0.1699 0.9132 0.3398
Sm 0.1699 0.4266 0.3398
Ce 0.0000 0.0000 0.0000
Cd 0.6564 0.1564 0.3128
Cd 0.3295 0.3295 0.6590
Cd 0.0000 0.5000 0.0000
Cd 0.6705 0.6705 0.3410
Cd 0.3436 0.8436 0.6872
```

Calculated values
total DFT energy (no corrections): -3.44 eV per atom
formation energy: -203 meV per atom
calculated density: 7.8 g/cm3
space-group type: Immm (71)
D(E_F): 16.84 states/eV/cell

---

[3]
This record from Alexandria via LeMat-Bulk describes a geometry-optimized TaTiNbHg structure. The functional is PBE. Values from VASP.

```
&SYSTEM
  ibrav = 0, nat = 4, ntyp = 4
/
ATOMIC_SPECIES
Ta 180.95 Ta.upf
Ti 47.87 Ti.upf
Nb 92.91 Nb.upf
Hg 200.59 Hg.upf
CELL_PARAMETERS angstrom
3.3033 0.0000 0.0000
0.0000 3.3033 0.0000
-1.6516 -1.6516 7.5767
ATOMIC_POSITIONS crystal
Ta 0.3511 0.3511 0.7022
Ti 0.5476 0.5476 0.0952
Nb 0.9487 0.9487 0.8973
Hg 0.1648 0.1648 0.3295
```

Calculated values
total DFT energy (no corrections): -7.26 eV per atom
formation energy: 267 meV per atom
calculated density: 10.5 g/cm3
relative energy among the computed polymorphs: 82 meV/atom
space-group type: I4mm (107)
D(E_F): 2.78 states/eV/cell